No. 1
Below is an optimized crystal structure of NaEuSb4, with properties calculated at the GGA-PBE level.

```
NaEuSb4
1.0
6.4163 0.0000 0.0000
3.2081 5.5567 0.0000
3.2081 1.8522 5.2389
Sb Eu Na
4 1 1
Direct
0.6257 0.1229 0.6257
0.1229 0.6257 0.6257
0.6257 0.6257 0.6257
0.6257 0.6257 0.1229
0.2500 0.2500 0.2500
0.0000 0.0000 0.0000
```

Values from the calculation:
* formation energy without anion corrections: -0.236 eV/atom
* total moment: 7.0 μB/cell
* total energy: -4.916 eV/atom

No. 2
Below is an optimized crystal structure of K2CrInBr6, with properties calculated at the GGA-PBE level.

```
K2CrInBr6
1.0
-4.3031 5.5468 2.9400
-6.4632 -3.1953 -3.4315
-1.6787 -6.1891 8.9250
Br In Cr K
12 2 2 4
Direct
0.7744 0.8290 0.5497
0.5968 0.0205 0.2791
0.0968 0.4795 0.7791
0.2744 0.6710 0.0497
0.9032 0.5205 0.2209
0.1661 0.2291 0.0493
0.4032 0.9795 0.7209
0.3339 0.7291 0.4507
0.6661 0.2709 0.5493
0.7256 0.3290 0.9503
0.8339 0.7709 0.9507
0.2256 0.1710 0.4503
0.0000 0.5000 0.5000
0.5000 0.0000 0.0000
0.0000 0.5000 0.0000
0.5000 0.0000 0.5000
0.9750 0.0775 0.7541
0.0250 0.9225 0.2459
0.5250 0.5775 0.7459
0.4750 0.4225 0.2541
```

Values from the calculation:
* formation energy without anion corrections: -1.137 eV/atom
* total moment: 6.0 μB/cell
* total energy: -3.597 eV/atom

No. 3
Below is an optimized crystal structure of Li4MgCd3, with properties calculated at the GGA-PBE level.

```
Li4MgCd3
1.0
4.6807 0.0000 0.0000
0.0000 6.7662 0.0000
0.0000 0.0000 9.3577
Mg Cd Li
2 6 8
Direct
0.0000 0.5000 0.5000
0.0000 0.5000 0.0000
0.0000 0.0000 0.0000
0.0000 0.0000 0.5000
0.5002 0.0000 0.7500
0.5002 0.5000 0.7500
0.4998 0.0000 0.2500
0.4998 0.5000 0.2500
0.0002 0.2429 0.7500
0.9998 0.2429 0.2500
0.5000 0.2429 0.5000
0.0002 0.7571 0.7500
0.5000 0.2429 0.0000
0.9998 0.7571 0.2500
0.5000 0.7571 0.5000
0.5000 0.7571 0.0000
```

Values from the calculation:
* ΔE to the lowest computed polymorph: 0.00 eV/f.u.
* total moment: 0.0 μB/cell
* total energy: -1.713 eV/atom

No. 4
Below is an optimized crystal structure of Sm3TmH, with properties calculated at the GGA-PBE level.

```
Sm3TmH
1.0
5.0636 0.0000 0.0000
0.0000 5.0636 0.0000
0.0000 0.0000 5.0636
Sm Tm H
3 1 1
Direct
0.0000 0.5000 0.0000
0.5000 0.0000 0.0000
0.0000 0.0000 0.5000
0.5000 0.5000 0.5000
0.0000 0.0000 0.0000
```

Values from the calculation:
* total moment: 0.0 μB/cell
* total energy: -4.560 eV/atom

No. 5
Below is an optimized crystal structure of Cs2TbTeO6, with properties calculated at the GGA-PBE level.

```
Cs2TbTeO6
1.0
-5.5361 1.8767 -1.0059
-0.2983 -3.9107 -5.6541
-1.9745 -2.5710 6.0698
O Cs Tb Te
6 2 1 1
Direct
0.7950 0.1294 0.2588
0.7950 0.7412 0.8706
0.7950 0.1294 0.8706
0.2050 0.2588 0.1294
0.2050 0.8706 0.1294
0.2050 0.8706 0.7412
0.8752 0.6667 0.3333
0.1248 0.3333 0.6667
0.5000 0.0000 0.0000
0.0000 0.0000 0.0000
```

Values from the calculation:
* formation energy without anion corrections: -1.709 eV/atom
* total moment: 1.1 μB/cell
* total energy: -5.631 eV/atom

No. 6
Below is an optimized crystal structure of Pu2Al2Zn15, with properties calculated at the GGA-PBE level.

```
Pu2Al2Zn15
1.0
6.8321 -0.0197 -0.0176
0.8668 6.7770 -0.0176
0.8668 0.7608 6.7342
Zn Al Pu
15 2 2
Direct
0.0000 0.2997 0.7003
0.0000 0.5000 0.0000
0.2997 0.7003 0.0000
0.2997 0.0000 0.7003
0.7003 0.2997 0.0000
0.0000 0.7003 0.2997
0.0000 0.0000 0.5000
0.8372 0.3531 0.3531
0.5000 0.0000 0.0000
0.7003 0.0000 0.2997
0.3531 0.3531 0.8372
0.3531 0.8372 0.3531
0.6469 0.6469 0.1628
0.1628 0.6469 0.6469
0.6469 0.1628 0.6469
0.1004 0.1004 0.1004
0.8996 0.8996 0.8996
0.6658 0.6658 0.6658
0.3342 0.3342 0.3342
```

Values from the calculation:
* total moment: 11.4 μB/cell
* total energy: -3.059 eV/atom

No. 7
Below is an optimized crystal structure of SmDy2Tl, with properties calculated at the GGA-PBE level.

```
SmDy2Tl
1.0
3.6378 0.0000 0.0000
0.0000 3.6378 0.0000
0.0000 0.0000 9.1575
Dy Tl Sm
2 1 1
Direct
0.0000 0.0000 0.7743
0.0000 0.0000 0.2257
0.5000 0.5000 0.0000
0.5000 0.5000 0.5000
```

Values from the calculation:
* ΔE to the lowest computed polymorph: 0.06 eV/f.u.
* total moment: 0.0 μB/cell
* total energy: -4.242 eV/atom

No. 8
Below is an optimized crystal structure of Tm4Cd2Pt, with properties calculated at the GGA-PBE level.

```
Tm4Cd2Pt
1.0
4.8337 0.0000 1.5101
2.1809 4.3137 1.5101
-0.0784 -0.0482 8.7418
Tm Cd Pt
4 2 1
Direct
0.3718 0.3718 0.8847
0.8794 0.8794 0.3617
0.6282 0.6282 0.1153
0.1206 0.1206 0.6383
0.7548 0.7548 0.7355
0.2452 0.2452 0.2645
0.0000 0.0000 0.0000
```

Values from the calculation:
* total moment: 0.0 μB/cell
* total energy: -4.087 eV/atom

No. 9
Below is an optimized crystal structure of Pm2Zn5Cu4, with properties calculated at the GGA-PBE level.

```
Pm2Zn5Cu4
1.0
-0.5211 3.7938 3.7036
0.3735 -1.1372 5.0490
7.6909 3.2629 1.5712
Zn Cu Pm
5 4 2
Direct
0.5000 0.5000 0.0000
0.0000 0.5000 0.0000
0.7500 0.5000 0.5000
0.2500 0.5000 0.5000
0.5000 0.0000 0.0000
0.4755 0.3091 0.7398
0.2153 0.3091 0.2602
0.5245 0.6909 0.2602
0.7847 0.6909 0.7398
0.1321 0.0000 0.7359
0.8679 0.0000 0.2641
```

Values from the calculation:
* total moment: 0.0 μB/cell
* total energy: -3.190 eV/atom

No. 10
Below is an optimized crystal structure of Y3ErZn2, with properties calculated at the GGA-PBE level.

```
Y3ErZn2
1.0
5.0340 0.0000 0.0000
0.0000 6.7518 0.0000
0.0000 0.0000 9.0901
Y Er Zn
6 2 4
Direct
0.0000 0.9847 0.0564
0.5000 0.6667 0.1759
0.0000 0.3322 0.3292
0.0000 0.4847 0.9436
0.0000 0.8322 0.6708
0.5000 0.1667 0.8241
0.5000 0.0159 0.4426
0.5000 0.5159 0.5574
0.0000 0.7753 0.3494
0.5000 0.7252 0.8497
0.5000 0.2252 0.1503
0.0000 0.2753 0.6506
```

Values from the calculation:
* ΔE to the lowest computed polymorph: 0.00 eV/f.u.
* total moment: 0.0 μB/cell
* total energy: -4.662 eV/atom

No. 11
Below is an optimized crystal structure of CePm2UAs4, with properties calculated at the GGA-PBE level.

```
CePm2UAs4
1.0
4.1749 0.0000 0.0000
0.0000 7.2444 0.1294
0.0000 -2.5289 6.8458
Ce Pm As U
1 2 4 1
Direct
0.0000 0.0000 0.0000
0.0000 0.5000 0.5000
0.5000 0.0000 0.5000
0.5000 0.7470 0.7569
0.0000 0.7425 0.2414
0.5000 0.2530 0.2431
0.0000 0.2575 0.7586
0.5000 0.5000 0.0000
```

Values from the calculation:
* total moment: 3.1 μB/cell
* total energy: -6.965 eV/atom

No. 12
Below is an optimized crystal structure of ReAg3, with properties calculated at the GGA-PBE level.

```
ReAg3
1.0
-0.5820 2.1454 -1.7061
1.3003 -2.2720 -0.9995
-8.7460 -4.0676 -2.1317
Re Ag
1 3
Direct
0.3333 0.6667 0.7500
0.0000 0.0000 0.5041
0.0000 0.0000 0.9959
0.3333 0.6667 0.2500
```

Values from the calculation:
* ΔE to the lowest computed polymorph: 0.00 eV/f.u.
* total moment: 0.0 μB/cell
* total energy: -4.863 eV/atom

Copy entry 5 word for word.
Below is an optimized crystal structure of Cs2TbTeO6, with properties calculated at the GGA-PBE level.

```
Cs2TbTeO6
1.0
-5.5361 1.8767 -1.0059
-0.2983 -3.9107 -5.6541
-1.9745 -2.5710 6.0698
O Cs Tb Te
6 2 1 1
Direct
0.7950 0.1294 0.2588
0.7950 0.7412 0.8706
0.7950 0.1294 0.8706
0.2050 0.2588 0.1294
0.2050 0.8706 0.1294
0.2050 0.8706 0.7412
0.8752 0.6667 0.3333
0.1248 0.3333 0.6667
0.5000 0.0000 0.0000
0.0000 0.0000 0.0000
```

Values from the calculation:
* formation energy without anion corrections: -1.709 eV/atom
* total moment: 1.1 μB/cell
* total energy: -5.631 eV/atom

Question: Among the records above, which one has the lowest total energy?
Answer: CePm2UAs4

Question: total energy of number 3 (Li4MgCd3)?
Answer: -1.713 eV/atom